(P)
The following is a PBE calculation of a geometry-optimized AcGdIr structure, from Alexandria.

```
data_AcGdIr
_chemical_formula_sum 'Ac4 Gd4 Ir4'
_cell_length_a 7.1259
_cell_length_b 7.1259
_cell_length_c 7.1259
_cell_angle_alpha 90.00
_cell_angle_beta 90.00
_cell_angle_gamma 90.00
_symmetry_space_group_name_H-M 'F -4 3 m'
_symmetry_Int_Tables_number 216
_symmetry_space_group_name_Hall 'F -4 2 3'
loop_
_atom_site_label
_atom_site_fract_x
_atom_site_fract_y
_atom_site_fract_z
Ac1 0.0000 0.0000 0.0000
Gd1 0.0000 0.0000 0.5000
Ir1 0.2500 0.2500 0.7500
```

---

(Q)
The following is a PBE calculation of a geometry-optimized AcGdIr structure, from Alexandria.

```
data_AcGdIr
_chemical_formula_sum 'Ac1 Gd1 Ir1'
_cell_length_a 4.2720
_cell_length_b 4.2720
_cell_length_c 6.5412
_cell_angle_alpha 90.00
_cell_angle_beta 90.00
_cell_angle_gamma 120.00
_symmetry_space_group_name_H-M 'P 3 m 1'
_symmetry_Int_Tables_number 156
_symmetry_space_group_name_Hall 'P 3 -2"'
loop_
_atom_site_label
_atom_site_fract_x
_atom_site_fract_y
_atom_site_fract_z
Ac1 0.0000 0.0000 0.0000
Gd1 0.3333 0.6667 0.5450
Ir1 0.6667 0.3333 0.7496
```

---

Which one sits at the bottom of the stability order? (P) does.

---

(P)
The following is a PBE calculation of a geometry-optimized AcGdIr2 structure, from Alexandria.

```
data_AcGdIr2
_chemical_formula_sum 'Ac4 Gd4 Ir8'
_cell_length_a 7.1862
_cell_length_b 7.1862
_cell_length_c 7.1862
_cell_angle_alpha 90.00
_cell_angle_beta 90.00
_cell_angle_gamma 90.00
_symmetry_space_group_name_H-M 'F m -3 m'
_symmetry_Int_Tables_number 225
_symmetry_space_group_name_Hall '-F 4 2 3'
loop_
_atom_site_label
_atom_site_fract_x
_atom_site_fract_y
_atom_site_fract_z
Ac1 0.0000 0.0000 0.0000
Gd1 0.0000 0.0000 0.5000
Ir1 0.2500 0.2500 0.2500
```

---

(Q)
The following is a PBE calculation of a geometry-optimized AcGdIr2 structure, from Alexandria.

```
data_AcGdIr2
_chemical_formula_sum 'Ac1 Gd1 Ir2'
_cell_length_a 3.5424
_cell_length_b 3.5424
_cell_length_c 7.3507
_cell_angle_alpha 90.00
_cell_angle_beta 90.00
_cell_angle_gamma 90.00
_symmetry_space_group_name_H-M 'P 4/m m m'
_symmetry_Int_Tables_number 123
_symmetry_space_group_name_Hall '-P 4 2'
loop_
_atom_site_label
_atom_site_fract_x
_atom_site_fract_y
_atom_site_fract_z
Ac1 0.0000 0.0000 0.0000
Gd1 0.0000 0.0000 0.5000
Ir1 0.5000 0.5000 0.2751
```

---

Which one sits at the bottom of the stability order? (P) does.

---

(P)
The following is a PBE calculation of a geometry-optimized Ac2LaGd structure, from Alexandria.

```
data_Ac2LaGd
_chemical_formula_sum 'Ac2 La1 Gd1'
_cell_length_a 5.4389
_cell_length_b 5.4389
_cell_length_c 5.3332
_cell_angle_alpha 90.00
_cell_angle_beta 90.00
_cell_angle_gamma 90.00
_symmetry_space_group_name_H-M 'P 4/m m m'
_symmetry_Int_Tables_number 123
_symmetry_space_group_name_Hall '-P 4 2'
loop_
_atom_site_label
_atom_site_fract_x
_atom_site_fract_y
_atom_site_fract_z
Ac1 0.0000 0.5000 0.0000
La1 0.0000 0.0000 0.5000
Gd1 0.5000 0.5000 0.5000
```

---

(Q)
The following is a PBE calculation of a geometry-optimized Ac2LaGd structure, from Alexandria.

```
data_Ac2LaGd
_chemical_formula_sum 'Ac2 La1 Gd1'
_cell_length_a 3.8546
_cell_length_b 3.8546
_cell_length_c 10.6686
_cell_angle_alpha 90.00
_cell_angle_beta 90.00
_cell_angle_gamma 90.00
_symmetry_space_group_name_H-M 'P 4/m m m'
_symmetry_Int_Tables_number 123
_symmetry_space_group_name_Hall '-P 4 2'
loop_
_atom_site_label
_atom_site_fract_x
_atom_site_fract_y
_atom_site_fract_z
Ac1 0.0000 0.0000 0.2451
La1 0.5000 0.5000 0.5000
Gd1 0.5000 0.5000 0.0000
```

---

(R)
The following is a PBE calculation of a geometry-optimized Ac2LaGd structure, from Alexandria.

```
data_Ac2LaGd
_chemical_formula_sum 'Ac6 La3 Gd3'
_cell_length_a 3.7609
_cell_length_b 3.7609
_cell_length_c 39.8124
_cell_angle_alpha 90.00
_cell_angle_beta 90.00
_cell_angle_gamma 120.00
_symmetry_space_group_name_H-M 'R -3 m'
_symmetry_Int_Tables_number 166
_symmetry_space_group_name_Hall '-R 3 2"'
loop_
_atom_site_label
_atom_site_fract_x
_atom_site_fract_y
_atom_site_fract_z
Ac1 0.0000 0.0000 0.0900
La1 0.0000 0.0000 0.0000
Gd1 0.0000 0.0000 0.5000
```

---

Which one sits at the bottom of the stability order? (R) does.

---

(P)
The following is a PBE calculation of a geometry-optimized AcGd2Mg structure, from Alexandria.

```
data_AcGd2Mg
_chemical_formula_sum 'Ac1 Gd2 Mg1'
_cell_length_a 3.8008
_cell_length_b 3.8008
_cell_length_c 9.1485
_cell_angle_alpha 90.00
_cell_angle_beta 90.00
_cell_angle_gamma 90.00
_symmetry_space_group_name_H-M 'P 4/m m m'
_symmetry_Int_Tables_number 123
_symmetry_space_group_name_Hall '-P 4 2'
loop_
_atom_site_label
_atom_site_fract_x
_atom_site_fract_y
_atom_site_fract_z
Ac1 0.0000 0.0000 0.0000
Gd1 0.5000 0.5000 0.2870
Mg1 0.0000 0.0000 0.5000
```

---

(Q)
The following is a PBE calculation of a geometry-optimized AcGd2Mg structure, from Alexandria.

```
data_AcGd2Mg
_chemical_formula_sum 'Ac4 Gd8 Mg4'
_cell_length_a 8.0884
_cell_length_b 8.0884
_cell_length_c 8.0884
_cell_angle_alpha 90.00
_cell_angle_beta 90.00
_cell_angle_gamma 90.00
_symmetry_space_group_name_H-M 'F m -3 m'
_symmetry_Int_Tables_number 225
_symmetry_space_group_name_Hall '-F 4 2 3'
loop_
_atom_site_label
_atom_site_fract_x
_atom_site_fract_y
_atom_site_fract_z
Ac1 0.0000 0.0000 0.0000
Gd1 0.2500 0.2500 0.2500
Mg1 0.0000 0.0000 0.5000
```

---

Which one sits at the bottom of the stability order? (Q) does.

---

(P)
The following is a PBE calculation of a geometry-optimized AcGd2Mg structure, from Alexandria.

```
data_AcGd2Mg
_chemical_formula_sum 'Ac1 Gd2 Mg1'
_cell_length_a 5.0505
_cell_length_b 5.0505
_cell_length_c 5.2235
_cell_angle_alpha 90.00
_cell_angle_beta 90.00
_cell_angle_gamma 90.00
_symmetry_space_group_name_H-M 'P 4/m m m'
_symmetry_Int_Tables_number 123
_symmetry_space_group_name_Hall '-P 4 2'
loop_
_atom_site_label
_atom_site_fract_x
_atom_site_fract_y
_atom_site_fract_z
Ac1 0.0000 0.0000 0.0000
Gd1 0.0000 0.5000 0.5000
Mg1 0.5000 0.5000 0.0000
```

---

(Q)
The following is a PBE calculation of a geometry-optimized AcGd2Mg structure, from Alexandria.

```
data_AcGd2Mg
_chemical_formula_sum 'Ac3 Gd6 Mg3'
_cell_length_a 3.6113
_cell_length_b 3.6113
_cell_length_c 37.7205
_cell_angle_alpha 90.00
_cell_angle_beta 90.00
_cell_angle_gamma 120.00
_symmetry_space_group_name_H-M 'R -3 m'
_symmetry_Int_Tables_number 166
_symmetry_space_group_name_Hall '-R 3 2"'
loop_
_atom_site_label
_atom_site_fract_x
_atom_site_fract_y
_atom_site_fract_z
Ac1 0.0000 0.0000 0.0000
Gd1 0.0000 0.0000 0.4126
Mg1 0.0000 0.0000 0.5000
```

---

Which one sits at the bottom of the stability order? (Q) does.

---

(P)
The following is a PBE calculation of a geometry-optimized AcGdN structure, from Alexandria.

```
data_AcGdN
_chemical_formula_sum 'Ac1 Gd1 N1'
_cell_length_a 3.6915
_cell_length_b 3.6915
_cell_length_c 6.6612
_cell_angle_alpha 90.00
_cell_angle_beta 90.00
_cell_angle_gamma 120.00
_symmetry_space_group_name_H-M 'P 3 m 1'
_symmetry_Int_Tables_number 156
_symmetry_space_group_name_Hall 'P 3 -2"'
loop_
_atom_site_label
_atom_site_fract_x
_atom_site_fract_y
_atom_site_fract_z
Ac1 0.0000 0.0000 0.0000
Gd1 0.6667 0.3333 0.4314
N1 0.3333 0.6667 0.2646
```

---

(Q)
The following is a PBE calculation of a geometry-optimized AcGdN structure, from Alexandria.

```
data_AcGdN
_chemical_formula_sum 'Ac2 Gd2 N2'
_cell_length_a 5.1919
_cell_length_b 5.1919
_cell_length_c 8.1552
_cell_angle_alpha 90.00
_cell_angle_beta 90.00
_cell_angle_gamma 90.00
_symmetry_space_group_name_H-M 'I 4 m m'
_symmetry_Int_Tables_number 107
_symmetry_space_group_name_Hall 'I 4 -2'
loop_
_atom_site_label
_atom_site_fract_x
_atom_site_fract_y
_atom_site_fract_z
Ac1 0.0000 0.0000 0.0000
Gd1 0.0000 0.0000 0.4842
N1 0.0000 0.0000 0.7289
```

---

(R)
The following is a PBE calculation of a geometry-optimized AcGdN structure, from Alexandria.

```
data_AcGdN
_chemical_formula_sum 'Ac4 Gd4 N4'
_cell_length_a 6.4272
_cell_length_b 6.4272
_cell_length_c 6.4272
_cell_angle_alpha 90.00
_cell_angle_beta 90.00
_cell_angle_gamma 90.00
_symmetry_space_group_name_H-M 'F -4 3 m'
_symmetry_Int_Tables_number 216
_symmetry_space_group_name_Hall 'F -4 2 3'
loop_
_atom_site_label
_atom_site_fract_x
_atom_site_fract_y
_atom_site_fract_z
Ac1 0.0000 0.0000 0.0000
Gd1 0.0000 0.0000 0.5000
N1 0.2500 0.2500 0.2500
```

---

Which one sits at the bottom of the stability order? (Q) does.